# Sm3Ga2Ir2 PBE-GGA optimized geometry
data_Sm3Ga2Ir2
_symmetry_space_group_name_H-M 'P b c m'
_symmetry_Int_Tables_number 57
_symmetry_space_group_name_Hall '-P 2c 2b'
_cell_length_a 5.661
_cell_length_b 7.978
_cell_length_c 13.808
_cell_angle_alpha 90.00
_cell_angle_beta 90.00
_cell_angle_gamma 90.00
loop_
_atom_site_label
_atom_site_type_symbol
_atom_site_fract_x
_atom_site_fract_y
_atom_site_fract_z
Sm1 Sm 0.124 0.239 0.250
Sm2 Sm 0.351 0.601 0.099
Ga1 Ga 0.128 0.250 0.000
Ga2 Ga 0.373 0.607 0.750
Ir1 Ir 0.148 0.533 0.592
# - M_tot: 0.00 μB per atom
# - DFT formation energy: -0.766 eV per atom

# Ca2ReBr PBE-GGA optimized geometry
data_Ca2ReBr
_symmetry_space_group_name_H-M 'F m -3 m'
_symmetry_Int_Tables_number 225
_symmetry_space_group_name_Hall '-F 4 2 3'
_cell_length_a 7.366
_cell_length_b 7.366
_cell_length_c 7.366
_cell_angle_alpha 90.00
_cell_angle_beta 90.00
_cell_angle_gamma 90.00
loop_
_atom_site_label
_atom_site_type_symbol
_atom_site_fract_x
_atom_site_fract_y
_atom_site_fract_z
Ca1 Ca 0.250 0.250 0.250
Re1 Re 0.000 0.000 0.000
Br1 Br 0.000 0.000 0.500
# - Energy above the most stable polymorph in this dataset: 523.9 meV/atom
# - M_tot: 0.50 μB per atom
# - E_form (uncorrected): 0.439 eV/atom

# B5C7 PBE-GGA optimized geometry
data_B5C7
_symmetry_space_group_name_H-M 'P 1'
_symmetry_Int_Tables_number 1
_symmetry_space_group_name_Hall 'P 1'
_cell_length_a 3.886
_cell_length_b 4.556
_cell_length_c 5.249
_cell_angle_alpha 69.21
_cell_angle_beta 89.16
_cell_angle_gamma 65.82
loop_
_atom_site_label
_atom_site_type_symbol
_atom_site_fract_x
_atom_site_fract_y
_atom_site_fract_z
B1 B 0.000 0.000 0.000
B2 B 0.021 0.377 0.971
B3 B 0.268 0.455 0.190
B4 B 0.348 0.392 0.658
B5 B 0.755 0.086 0.265
C1 C 0.031 0.411 0.447
C2 C 0.391 0.747 0.597
C3 C 0.449 0.722 0.103
C4 C 0.639 0.734 0.838
C5 C 0.644 0.742 0.345
C6 C 0.739 0.043 0.754
C7 C 0.988 0.073 0.518
# - Energy above the most stable polymorph in this dataset: 172.8 meV/atom
# - M_tot: 0.00 μB per atom
# - DFT formation energy: 0.431 eV per atom

# Ti2Co2Si2Ge PBE-GGA optimized geometry
data_Ti2Co2Si2Ge
_symmetry_space_group_name_H-M 'I 4/m m m'
_symmetry_Int_Tables_number 139
_symmetry_space_group_name_Hall '-I 4 2'
_cell_length_a 4.121
_cell_length_b 4.121
_cell_length_c 13.001
_cell_angle_alpha 90.00
_cell_angle_beta 90.00
_cell_angle_gamma 90.00
loop_
_atom_site_label
_atom_site_type_symbol
_atom_site_fract_x
_atom_site_fract_y
_atom_site_fract_z
Ti1 Ti 0.000 0.000 0.190
Co1 Co 0.000 0.500 0.000
Si1 Si 0.000 0.000 0.386
Ge1 Ge 0.000 0.000 0.000
# - M_tot: 0.00 μB per atom
# - E_form (uncorrected): 0.164 eV/atom